## IrOs2Pt (SCAN)

Data for a crystal of IrOs2Pt relaxed with PBEsol.

Lattice parameters (Å, degrees): 2.7143 3.8361 5.4546 90.00 90.00 90.00
Space group Pmm2 (No. 25)
Asymmetric unit:
Ir 0.0000 0.0000 0.0000 [1 per cell]
Os 0.0000 0.0000 0.4840 [1 per cell]
Os 0.5000 0.5000 0.2494 [1 per cell]
Pt 0.5000 0.5000 0.7432 [1 per cell]

Properties
Distance to the lowest polymorph of the same formula = 21.4 meV per atom
Crystal system = orthorhombic